# Ho3TmHg4 (PBE, relaxed)
data_Ho3TmHg4
_symmetry_space_group_name_H-M 'P 1'
_symmetry_Int_Tables_number 1
_cell_length_a 5.2860
_cell_length_b 5.9587
_cell_length_c 7.5233
_cell_angle_alpha 106.62
_cell_angle_beta 110.57
_cell_angle_gamma 90.00
loop_
_symmetry_equiv_pos_as_xyz
'x,y,z'
loop_
_atom_site_label
_atom_site_type_symbol
_atom_site_fract_x
_atom_site_fract_y
_atom_site_fract_z
Hg1 Hg 0.7394 0.3282 0.4789
Hg2 Hg 0.3881 0.3488 0.7763
Hg3 Hg 0.6119 0.6512 0.2237
Hg4 Hg 0.2606 0.6718 0.5211
Ho1 Ho 0.1666 0.0790 0.3333
Ho2 Ho 0.8334 0.9210 0.6667
Ho3 Ho 0.0000 0.5000 0.0000
Tm1 Tm 0.5000 0.0000 0.0000
# **Space-group type**: C2/m, No. 12
# **D(E_F)**: 5.93 states/eV/cell
# **Magnetic moment**: 0.000 μB per cell
# **Final energy**: -2.70 eV per atom
# **Energy above the lowest structure with this stoichiometry**: 202 meV per atom
# **Calculated formation energy**: -0.28 eV/atom